No. 1
{"formula": "AlVGa2", "functional": "PBE-GGA", "state": "optimized geometry", "formation_enthalpy_0k_ev_per_atom": -0.071, "total_energy_ev_per_cell": -19.20, "total_magnetization_mub_per_atom": 0.295, "volume_a3_per_cell": 60, "density_g_cm3": 6.04, "lattice_angstrom": [[3.881, 0.000, 0.000], [0.000, 3.881, 0.000], [0.000, 0.000, 3.969]], "species": ["Al", "V", "Ga", "Ga"], "fractional_positions": [[0.000, 0.000, 0.000], [0.500, 0.500, 0.000], [0.000, 0.500, 0.500], [0.500, 0.000, 0.500]]}

---

No. 2
{"formula": "Th6Ru2AuC3", "functional": "PBE-GGA", "state": "optimized geometry", "formation_enthalpy_0k_ev_per_atom": -0.291, "total_energy_ev_per_cell": -97.51, "total_magnetization_mub_per_atom": 0.000, "volume_a3_per_cell": 265, "density_g_cm3": 11.47, "lattice_angstrom": [[8.800, -1.858, 0.000], [8.800, 1.858, 0.000], [-2.487, 0.000, 8.092]], "species": ["Th", "Th", "Th", "Th", "Th", "Th", "Ru", "Ru", "Au", "C", "C", "C"], "fractional_positions": [[0.019, 0.019, 0.298], [0.323, 0.323, 0.919], [0.344, 0.344, 0.366], [0.656, 0.656, 0.634], [0.677, 0.677, 0.081], [0.981, 0.981, 0.702], [0.183, 0.183, 0.378], [0.817, 0.817, 0.622], [0.500, 0.500, 0.000], [0.176, 0.176, 0.858], [0.500, 0.500, 0.500], [0.824, 0.824, 0.142]]}

---

No. 3
{"formula": "RbSi3Ir", "functional": "PBE-GGA", "state": "optimized geometry", "e_above_lowest_polymorph_kj_per_mol_fu": 1185, "e_form_raw_mev_per_atom": 2951, "total_energy_ev_per_cell": -11.34, "total_magnetization_mub_per_atom": 0.000, "volume_a3_per_cell": 125, "density_g_cm3": 4.82, "lattice_angstrom": [[4.995, 0.000, 0.000], [0.000, 4.995, 0.000], [0.000, 0.000, 4.995]], "species": ["Rb", "Si", "Si", "Si", "Ir"], "fractional_positions": [[0.000, 0.000, 0.000], [0.000, 0.000, 0.500], [0.000, 0.500, 0.000], [0.500, 0.000, 0.000], [0.500, 0.500, 0.500]]}

---

No. 4
{"formula": "TbPuAl2", "functional": "PBE-GGA", "state": "optimized geometry", "e_above_lowest_polymorph_kj_per_mol_fu": 4, "formation_enthalpy_0k_ev_per_atom": -0.233, "total_energy_ev_per_cell": -27.38, "total_magnetization_mub_per_atom": 1.344, "volume_a3_per_cell": 93, "density_g_cm3": 8.13, "lattice_angstrom": [[0.000, 3.599, 3.599], [3.599, 0.000, 3.599], [3.599, 3.599, 0.000]], "species": ["Tb", "Pu", "Al", "Al"], "fractional_positions": [[0.000, 0.000, 0.000], [0.500, 0.500, 0.500], [0.250, 0.250, 0.250], [0.750, 0.750, 0.750]]}

---

No. 5
{"formula": "KCa2V", "functional": "PBE-GGA", "state": "optimized geometry", "e_above_lowest_polymorph_kj_per_mol_fu": 0, "formation_enthalpy_0k_ev_per_atom": 0.688, "total_energy_ev_per_cell": -11.47, "total_magnetization_mub_per_atom": 1.166, "volume_a3_per_cell": 143, "density_g_cm3": 1.98, "lattice_angstrom": [[0.000, 4.147, 4.147], [4.147, 0.000, 4.147], [4.147, 4.147, 0.000]], "species": ["K", "Ca", "Ca", "V"], "fractional_positions": [[0.000, 0.000, 0.000], [0.250, 0.250, 0.250], [0.750, 0.750, 0.750], [0.500, 0.500, 0.500]]}

---

No. 6
{"formula": "KTbTiO4", "functional": "PBE-GGA", "state": "optimized geometry", "e_form_raw_mev_per_atom": -2927, "total_energy_ev_per_cell": -107.90, "total_magnetization_mub_per_atom": 0.000, "volume_a3_per_cell": 254, "density_g_cm3": 4.04, "lattice_angstrom": [[5.948, 0.000, 0.000], [0.000, 6.023, 0.000], [-2.282, 0.000, 7.102]], "species": ["K", "K", "Tb", "Tb", "Ti", "Ti", "O", "O", "O", "O", "O", "O", "O", "O"], "fractional_positions": [[0.185, 0.250, 0.429], [0.815, 0.750, 0.571], [0.312, 0.250, 0.956], [0.688, 0.750, 0.044], [0.228, 0.750, 0.162], [0.772, 0.250, 0.838], [0.016, 0.750, 0.933], [0.024, 0.750, 0.302], [0.444, 0.522, 0.173], [0.444, 0.978, 0.173], [0.556, 0.022, 0.827], [0.556, 0.478, 0.827], [0.976, 0.250, 0.698], [0.984, 0.250, 0.067]]}